1.
## BaAg2S2 (GGA-PBE)

Data for a relaxed BaAg2S2 crystal.

## Properties
As for the density: 5.98 g/cm3. The crystal system is tetragonal. The value obtained for the total energy is -0.1472 Ha/atom.

Lattice parameters (Å, degrees): 7.372 7.372 7.372 147.41 147.41 46.76
Sites, in units of the cell vectors:
Ag1 0.750 0.250 0.500
Ag2 0.250 0.750 0.500
Ba1 0.000 0.000 0.000
S1 0.378 0.378 0.000
S2 0.622 0.622 0.000



2.
## GdTlAsO (GGA-PBE)

Data for a relaxed GdTlAsO crystal.

## Properties
As for the density: 7.33 g/cm3. The crystal system is orthorhombic. The value obtained for the total energy is -0.2018 Ha/atom. The relative energy among the computed polymorphs comes out at 79 meV per atom.

Lattice parameters (Å, degrees): 5.619 6.342 5.755 90.00 90.00 90.00
Sites, in units of the cell vectors:
As1 0.000 0.798 0.433
As2 0.000 0.202 0.933
Gd1 0.500 0.315 0.012
Gd2 0.500 0.685 0.512
O1 0.500 0.378 0.373
O2 0.500 0.622 0.873
Tl1 0.000 0.284 0.436
Tl2 0.000 0.716 0.936